This record from Alexandria via LeMat-Bulk describes an optimized crystal structure of FeCoAg2. The functional is PBE-GGA.

It has space group I-4m2 (No. 119), with a = 3.9424 Å, b = 3.9424 Å, c = 7.5733 Å, α = 90.00°, β = 90.00° and γ = 90.00°. Symmetry generates all atoms from Fe at (0.0000, 0.0000, 0.0000), Co at (0.0000, 0.5000, 0.2500), Ag at (0.0000, 0.0000, 0.5000) and Ag at (0.0000, 0.5000, 0.7500).

As for the formation energy: 405.5 meV/atom. The magnetization is 9.2 Bohr magnetons per cell. As for the crystal system: tetragonal. Its uncorrected energy is -4.912 eV per atom. The density of states at the Fermi level comes out at 5.09 states/eV per cell.